Entry 1:
Be3NbN: optimized geometry, GGA-PBE.

For the final energy, the calculation gives -3.20 eV/atom. The calculation puts the magnetization at 0.0411 μB/atom. The formation energy (no corrections) comes out at 2719 meV per atom.

The space group is Pm-3m (No. 221) and the conventional cell measures 4.5575, 4.5575 and 4.5575 Å, with angles of 90.00, 90.00 and 90.00 degrees. The distinct sites, in fractional coordinates, are Be at (0.0000, 0.0000, 0.5000), Nb at (0.0000, 0.0000, 0.0000) and N at (0.5000, 0.5000, 0.5000).

=====

Entry 2:
La3Pm2Hg4: optimized geometry, GGA-PBE.

For the final energy, the calculation gives -3.24 eV/atom. The formation energy is -3.7 eV per formula unit. The calculation puts the magnetization at 0.0370 μB/atom.

The space group is P-3m1 (No. 164) and the conventional cell measures 5.4156, 5.4156 and 10.4901 Å, with angles of 90.00, 90.00 and 120.00 degrees. The distinct sites, in fractional coordinates, are La at (0.0000, 0.0000, 0.0000), La at (0.3333, 0.6667, 0.4207), Pm at (0.3333, 0.6667, 0.7904), Hg at (0.0000, 0.0000, 0.3408) and Hg at (0.3333, 0.6667, 0.1060).

=====

Entry 3:
Cr2OsAu: optimized geometry, GGA-PBE.

For the final energy, the calculation gives -8.12 eV/atom. The formation energy is 1.3 eV per formula unit. The calculation puts the magnetization at 0.2629 μB/atom.

The space group is I4/mmm (No. 139) and the conventional cell measures 3.8511, 3.8511 and 7.4496 Å, with angles of 90.00, 90.00 and 90.00 degrees. The distinct sites, in fractional coordinates, are Cr at (0.0000, 0.5000, 0.2500), Os at (0.0000, 0.0000, 0.0000) and Au at (0.0000, 0.0000, 0.5000).

=====

Calculated values (states/eV per cell) of D(E_F) for the records, taken in order: 2.84 10.13 8.31.